[1]
# PBE Cs2TmCuCl6, optimized geometry
data_Cs2TmCuCl6
_space_group_name_H-M_alt 'F m -3 m'
_space_group_IT_number 225
_space_group_name_Hall '-F 4 2 3'
_cell_length_a 10.4623
_cell_length_b 10.4623
_cell_length_c 10.4623
_cell_angle_alpha 90.00
_cell_angle_beta 90.00
_cell_angle_gamma 90.00
loop_
_atom_site_label
_atom_site_type_symbol
_atom_site_fract_x
_atom_site_fract_y
_atom_site_fract_z
Cs1 Cs 0.2500 0.2500 0.2500
Tm1 Tm 0.0000 0.0000 0.0000
Cu1 Cu 0.0000 0.0000 0.5000
Cl1 Cl 0.0000 0.0000 0.2503
# VASP energy   -3.94 eV/atom
# Crystal system   cubic
# Total moment   0.01 μB/atom
# Energy above the lowest structure with this stoichiometry   0.17 eV per formula unit
# Calculated volume   28.6 A^3/atom

[2]
# PBE Ca2Hg2Pd, optimized geometry
data_Ca2Hg2Pd
_space_group_name_H-M_alt 'C 1 2/m 1'
_space_group_IT_number 12
_cell_length_a 11.1674
_cell_length_b 4.1770
_cell_length_c 11.7839
_cell_angle_alpha 90.00
_cell_angle_beta 111.15
_cell_angle_gamma 90.00
loop_
_space_group_symop_operation_xyz
'x,y,z'
'-x,-y,-z'
'-x,y,-z'
'x,-y,z'
'x+1/2,y+1/2,z'
'-x+1/2,-y+1/2,-z'
'-x+1/2,y+1/2,-z'
'x+1/2,-y+1/2,z'
loop_
_atom_site_label
_atom_site_type_symbol
_atom_site_fract_x
_atom_site_fract_y
_atom_site_fract_z
Ca1 Ca 0.0022 0.0000 0.1661
Ca2 Ca 0.1880 0.0000 0.6238
Hg1 Hg 0.0397 0.5000 0.3899
Hg2 Hg 0.1566 0.5000 0.0502
Pd1 Pd 0.1933 0.5000 0.8110
# VASP energy   -2.53 eV/atom
# Crystal system   monoclinic
# ΔE_f   -2.8 eV per formula unit
# Total moment   0.00 μB/atom
# Energy above the lowest structure with this stoichiometry   0.00 eV per formula unit
# Calculated volume   25.6 A^3/atom

[3]
# PBE LiSbTe2As, optimized geometry
data_LiSbTe2As
_space_group_name_H-M_alt 'P 4/m m m'
_space_group_IT_number 123
_space_group_name_Hall '-P 4 2'
_cell_length_a 5.6625
_cell_length_b 5.6625
_cell_length_c 5.2395
_cell_angle_alpha 90.00
_cell_angle_beta 90.00
_cell_angle_gamma 90.00
loop_
_atom_site_label
_atom_site_type_symbol
_atom_site_fract_x
_atom_site_fract_y
_atom_site_fract_z
Li1 Li 0.0000 0.0000 0.0000
Sb1 Sb 0.5000 0.5000 0.0000
Te1 Te 0.0000 0.5000 0.5000
As1 As 0.5000 0.5000 0.5000
# VASP energy   -3.12 eV/atom
# Crystal system   tetragonal
# Total moment   0.00 μB/atom
# Energy above the lowest structure with this stoichiometry   0.00 eV per formula unit
# Calculated volume   33.6 A^3/atom

[4]
# PBE VCr4Mo, optimized geometry
data_VCr4Mo
_space_group_name_H-M_alt 'F -4 3 m'
_space_group_IT_number 216
_space_group_name_Hall 'F -4 2 3'
_cell_length_a 6.7636
_cell_length_b 6.7636
_cell_length_c 6.7636
_cell_angle_alpha 90.00
_cell_angle_beta 90.00
_cell_angle_gamma 90.00
loop_
_atom_site_label
_atom_site_type_symbol
_atom_site_fract_x
_atom_site_fract_y
_atom_site_fract_z
V1 V 0.0000 0.0000 0.0000
Cr1 Cr 0.1252 0.1252 0.3748
Mo1 Mo 0.2500 0.2500 0.7500
# VASP energy   -9.68 eV/atom
# Crystal system   cubic
# ΔE_f   0.3 eV per formula unit
# Total moment   0.00 μB/atom
# Energy above the lowest structure with this stoichiometry   0.00 eV per formula unit
# Calculated volume   12.9 A^3/atom

[5]
# PBE LaIn2Rh, optimized geometry
data_LaIn2Rh
_space_group_name_H-M_alt 'P 4 m m'
_space_group_IT_number 99
_cell_length_a 3.4864
_cell_length_b 3.4864
_cell_length_c 7.7746
_cell_angle_alpha 90.00
_cell_angle_beta 90.00
_cell_angle_gamma 90.00
loop_
_space_group_symop_operation_xyz
'x,y,z'
'-y,x,z'
'-x,-y,z'
'y,-x,z'
'-x,y,z'
'y,x,z'
'x,-y,z'
'-y,-x,z'
loop_
_atom_site_label
_atom_site_type_symbol
_atom_site_fract_x
_atom_site_fract_y
_atom_site_fract_z
La1 La 0.0000 0.0000 0.0000
In1 In 0.0000 0.0000 0.4235
In2 In 0.5000 0.5000 0.6759
Rh1 Rh 0.5000 0.5000 0.2428
# VASP energy   -4.83 eV/atom
# Crystal system   tetragonal
# ΔE_f   -1.5 eV per formula unit
# Total moment   0.00 μB/atom
# Calculated volume   23.6 A^3/atom

[6]
# PBE SmScTlGa, optimized geometry
data_SmScTlGa
_space_group_name_H-M_alt 'F -4 3 m'
_space_group_IT_number 216
_space_group_name_Hall 'F -4 2 3'
_cell_length_a 7.2742
_cell_length_b 7.2742
_cell_length_c 7.2742
_cell_angle_alpha 90.00
_cell_angle_beta 90.00
_cell_angle_gamma 90.00
loop_
_atom_site_label
_atom_site_type_symbol
_atom_site_fract_x
_atom_site_fract_y
_atom_site_fract_z
Sm1 Sm 0.0000 0.0000 0.0000
Sc1 Sc 0.0000 0.0000 0.5000
Tl1 Tl 0.2500 0.2500 0.2500
Ga1 Ga 0.2500 0.2500 0.7500
# VASP energy   -4.51 eV/atom
# Crystal system   cubic
# ΔE_f   -1.6 eV per formula unit
# Total moment   0.00 μB/atom
# Calculated volume   24.1 A^3/atom